[1]
# CaPr4Nd8

A relaxed CaPr4Nd8 crystal (PBE, Alexandria).

## Properties
V	36.03	Å³/atom
uncorrected energy	-4.536	eV per atom
DFT formation energy	0.023	eV/atom

Lattice parameters (Å, degrees): 9.815 9.815 9.815 94.08 94.08 149.07
Fractional coordinates of all 13 atoms:
Ca1 0.000 0.000 0.000
Pr1 0.156 0.767 0.923
Pr2 0.233 0.156 0.389
Pr3 0.767 0.844 0.611
Pr4 0.844 0.233 0.077
Nd1 0.077 0.385 0.462
Nd2 0.302 0.539 0.841
Nd3 0.385 0.923 0.308
Nd4 0.461 0.302 0.763
Nd5 0.539 0.698 0.237
Nd6 0.615 0.077 0.692
Nd7 0.698 0.461 0.159
Nd8 0.923 0.615 0.538

---

[2]
# CaDy2SnN4

A relaxed CaDy2SnN4 crystal (PBE, Alexandria).

## Properties
V	15.69	Å³/atom
uncorrected energy	-6.961	eV per atom
uncorrected formation energy	-0.897	eV per atom

Lattice parameters (Å, degrees): 6.211 6.211 12.215 90.00 90.00 147.80
Fractional coordinates of all 16 atoms:
Ca1 0.118 0.882 0.750
Ca2 0.882 0.118 0.250
Dy1 0.370 0.630 0.528
Dy2 0.370 0.630 0.972
Dy3 0.630 0.370 0.028
Dy4 0.630 0.370 0.472
Sn1 0.147 0.853 0.250
Sn2 0.853 0.147 0.750
N1 0.000 0.000 0.000
N2 0.000 0.000 0.500
N3 0.256 0.744 0.119
N4 0.256 0.744 0.381
N5 0.456 0.544 0.750
N6 0.544 0.456 0.250
N7 0.744 0.256 0.619
N8 0.744 0.256 0.881

---

[3]
# Er2NpTl3Te6

A relaxed Er2NpTl3Te6 crystal (PBE, Alexandria).

## Properties
V	35.13	Å³/atom
uncorrected energy	-4.873	eV per atom
uncorrected formation energy	-0.871	eV per atom

Lattice parameters (Å, degrees): 7.705 7.705 8.570 98.59 98.59 119.77
Fractional coordinates of all 12 atoms:
Er1 0.166 0.834 0.000
Er2 0.834 0.166 0.000
Np1 0.500 0.500 0.000
Tl1 0.000 0.000 0.500
Tl2 0.335 0.665 0.500
Tl3 0.665 0.335 0.500
Te1 0.089 0.428 0.787
Te2 0.231 0.231 0.212
Te3 0.428 0.089 0.787
Te4 0.572 0.911 0.213
Te5 0.769 0.769 0.788
Te6 0.911 0.572 0.213

---

[4]
# Ti7ZnC2

A relaxed Ti7ZnC2 crystal (PBE, Alexandria).

## Properties
V	15.44	Å³/atom
uncorrected energy	-7.636	eV per atom
DFT formation energy	-0.138	eV/atom

Lattice parameters (Å, degrees): 6.478 6.478 4.088 90.00 90.00 115.86
Fractional coordinates of all 10 atoms:
Ti1 0.000 0.000 0.000
Ti2 0.168 0.436 0.000
Ti3 0.221 0.779 0.500
Ti4 0.436 0.168 0.000
Ti5 0.564 0.832 0.000
Ti6 0.779 0.221 0.500
Ti7 0.832 0.564 0.000
Zn1 0.500 0.500 0.500
C1 0.203 0.797 0.000
C2 0.797 0.203 0.000

---

[5]
# Sn2Hg2Rh

A relaxed Sn2Hg2Rh crystal (PBE, Alexandria).

## Properties
V	24.52	Å³/atom
uncorrected energy	-3.090	eV per atom
DFT formation energy	0.103	eV/atom

Lattice parameters (Å, degrees): 6.940 6.940 5.091 90.00 90.00 90.00
Fractional coordinates of all 10 atoms:
Sn1 0.156 0.344 0.000
Sn2 0.344 0.844 0.000
Sn3 0.656 0.156 0.000
Sn4 0.844 0.656 0.000
Hg1 0.174 0.674 0.500
Hg2 0.326 0.174 0.500
Hg3 0.674 0.826 0.500
Hg4 0.826 0.326 0.500
Rh1 0.000 0.000 0.000
Rh2 0.500 0.500 0.000

---

[6]
# Sm2ScSn2Rh5

A relaxed Sm2ScSn2Rh5 crystal (PBE, Alexandria).

## Properties
V	19.74	Å³/atom
uncorrected energy	-6.677	eV per atom
DFT formation energy	-0.624	eV/atom

Lattice parameters (Å, degrees): 10.297 10.297 3.724 90.00 90.00 90.00
Fractional coordinates of all 20 atoms:
Sm1 0.170 0.330 0.000
Sm2 0.330 0.830 0.000
Sm3 0.670 0.170 0.000
Sm4 0.830 0.670 0.000
Sc1 0.000 0.000 0.000
Sc2 0.500 0.500 0.000
Sn1 0.129 0.629 0.000
Sn2 0.371 0.129 0.000
Sn3 0.629 0.871 0.000
Sn4 0.871 0.371 0.000
Rh1 0.000 0.500 0.500
Rh2 0.059 0.799 0.500
Rh3 0.201 0.059 0.500
Rh4 0.299 0.559 0.500
Rh5 0.441 0.299 0.500
Rh6 0.500 0.000 0.500
Rh7 0.559 0.701 0.500
Rh8 0.701 0.441 0.500
Rh9 0.799 0.941 0.500
Rh10 0.941 0.201 0.500

---

[7]
# SmTmAl

A relaxed SmTmAl crystal (PBE, Alexandria).

## Properties
V	30.03	Å³/atom
uncorrected energy	-4.308	eV per atom
E above lowest polymorph	23.2	kJ per mole of atoms
DFT formation energy	0.003	eV/atom

Lattice parameters (Å, degrees): 3.445 4.986 5.245 90.00 90.00 90.00
Fractional coordinates of all 3 atoms:
Sm1 0.000 0.000 0.000
Tm1 0.000 0.500 0.500
Al1 0.500 0.000 0.500

---

[8]
# FeSbRh2

A relaxed FeSbRh2 crystal (PBE, Alexandria).

## Properties
V	16.33	Å³/atom
uncorrected energy	-6.462	eV per atom
uncorrected formation energy	0.360	eV per atom

Lattice parameters (Å, degrees): 3.861 3.861 17.527 90.00 90.00 90.00
Fractional coordinates of all 16 atoms:
Fe1 0.000 0.000 0.000
Fe2 0.000 0.500 0.250
Fe3 0.500 0.000 0.750
Fe4 0.500 0.500 0.500
Sb1 0.000 0.000 0.500
Sb2 0.000 0.500 0.750
Sb3 0.500 0.000 0.250
Sb4 0.500 0.500 0.000
Rh1 0.223 0.250 0.125
Rh2 0.250 0.723 0.375
Rh3 0.250 0.777 0.875
Rh4 0.277 0.250 0.625
Rh5 0.723 0.750 0.625
Rh6 0.750 0.223 0.875
Rh7 0.750 0.277 0.375
Rh8 0.777 0.750 0.125

---

[9]
# PuAsH2

A relaxed PuAsH2 crystal (PBE, Alexandria).

## Properties
V	12.89	Å³/atom
uncorrected energy	-6.743	eV per atom
E above lowest polymorph	5.7	kJ per mole of atoms

Lattice parameters (Å, degrees): 3.772 10.654 5.133 90.00 90.00 90.00
Fractional coordinates of all 16 atoms:
Pu1 0.000 0.161 0.250
Pu2 0.000 0.839 0.750
Pu3 0.500 0.339 0.750
Pu4 0.500 0.661 0.250
As1 0.000 0.446 0.250
As2 0.000 0.554 0.750
As3 0.500 0.054 0.750
As4 0.500 0.946 0.250
H1 0.000 0.275 0.581
H2 0.000 0.275 0.919
H3 0.000 0.725 0.081
H4 0.000 0.725 0.419
H5 0.500 0.225 0.081
H6 0.500 0.225 0.419
H7 0.500 0.775 0.581
H8 0.500 0.775 0.919